! Ca2Ga3Pt4Pb, optimized geometry, DFT PBE-GGA; values from VASP
&SYSTEM
  ibrav = 0, nat = 10, ntyp = 4
/
ATOMIC_SPECIES
Ca 40.08 Ca.upf
Pt 195.08 Pt.upf
Ga 69.72 Ga.upf
Pb 207.20 Pb.upf
ATOMIC_POSITIONS crystal
Ca 0.000 0.500 0.759
Pt 0.500 0.000 0.660
Ca 0.500 0.000 0.241
Pt 0.000 0.500 0.340
Ga 0.000 0.500 0.127
Pt 0.500 0.500 0.000
Ga 0.000 0.000 0.500
Ga 0.500 0.000 0.873
Pt 0.000 0.000 0.000
Pb 0.500 0.500 0.500
CELL_PARAMETERS angstrom
4.203 0.000 0.000
0.000 4.203 0.000
0.000 0.000 11.519
! Total moment = 0.000 μB per cell
! VASP energy = -4.83 eV/atom